Entry 1:
Entry from the Alexandria database: a relaxed structure of K8PbO2 (PBE).

Computed properties:
formation energy (no corrections) = -5.889 eV per formula unit
DFT total energy = -2.572 eV/atom

Unit cell a=4.5311 b=11.1572 c=11.1572 alpha=130.17 beta=90.41 gamma=90.41
With the nearest neighbours (Å) after each atom.
Fractional positions:
K (0.9508, 0.9143, 0.6668)  1 O 2.77
K (0.9508, 0.6668, 0.9143)  1 O 2.77
K (0.2555, 0.6185, 0.6185)  2 O 2.65
K (0.5000, 0.6747, 0.3253)  2 O 2.67
K (0.5000, 0.3253, 0.6747)  2 O 2.67
K (0.7445, 0.3815, 0.3816)  2 O 2.65
K (0.0492, 0.3332, 0.0857)  1 O 2.77
K (0.0492, 0.0857, 0.3332)  1 O 2.77
Pb (0.5000, 0.0000, 0.0000)  10 K 3.74-4.02
O (0.0000, 0.3953, 0.6047)  6 K 2.65-2.77
O (0.0000, 0.6047, 0.3953)  6 K 2.65-2.77

***

Entry 2:
Entry from the Alexandria database: a relaxed structure of K5PbO5 (PBE).

Computed properties:
formation energy (no corrections) = -11.850 eV per formula unit
DFT total energy = -4.167 eV/atom

Unit cell a=5.2764 b=6.6277 c=7.3801 alpha=106.78 beta=90.00 gamma=113.46
With the nearest neighbours (Å) after each atom.
Fractional positions:
K (0.6908, 0.3816, 0.3102)  4 O 2.70-2.82
K (0.6730, 0.3459, 0.8508)  5 O 2.66-2.77
K (0.0000, 0.0000, 0.5000)  4 O 2.60-2.66
K (0.3270, 0.6541, 0.1492)  5 O 2.66-2.77
K (0.3092, 0.6184, 0.6898)  4 O 2.70-2.82
Pb (0.0000, 0.0000, 0.0000)  4 O 2.17-2.26
O (0.8702, 0.7404, 0.1446)  1 Pb 2.17
O (0.8601, 0.7203, 0.7138)  1 Pb 2.26
O (0.5000, 0.0000, 0.0000)  2 Pb 2.64, 4 K 2.66-2.70
O (0.1399, 0.2797, 0.2862)  1 Pb 2.26
O (0.1298, 0.2596, 0.8554)  1 Pb 2.17

***

Entry 3:
Entry from the Alexandria database: a relaxed structure of KPbO3 (PBE).

Computed properties:
formation energy (no corrections) = -3.947 eV per formula unit
DFT total energy = -4.726 eV/atom

Unit cell a=3.3840 b=7.1889 c=7.9178 alpha=95.66 beta=90.00 gamma=103.61
With the nearest neighbours (Å) after each atom.
Fractional positions:
K (0.6056, 0.2111, 0.3783)  8 O 2.81-3.01
K (0.3944, 0.7889, 0.6217)  8 O 2.81-3.01
Pb (0.8159, 0.6318, 0.1599)  6 O 2.13-2.29
Pb (0.1841, 0.3682, 0.8401)  6 O 2.13-2.29
O (0.9447, 0.8895, 0.3283)  1 Pb 2.13
O (0.0553, 0.1105, 0.6717)  1 Pb 2.13
O (0.3365, 0.6729, 0.9777)  3 Pb 2.26-2.29
O (0.6635, 0.3271, 0.0223)  3 Pb 2.26-2.29
O (0.2674, 0.5348, 0.3128)  2 Pb 2.23
O (0.7326, 0.4652, 0.6872)  2 Pb 2.23

***

Entry 4:
Entry from the Alexandria database: a relaxed structure of K5Pb2O5 (PBE).

Computed properties:
formation energy (no corrections) = -13.914 eV per formula unit
DFT total energy = -4.301 eV/atom

Unit cell a=3.8718 b=6.5880 c=11.0051 alpha=108.42 beta=90.00 gamma=107.09
With the nearest neighbours (Å) after each atom.
Fractional positions:
K (0.5000, 0.0000, 0.5000)  6 O 2.83-3.05
K (0.6571, 0.3143, 0.0620)  2 O 2.69
K (0.7483, 0.4966, 0.3709)  3 O 2.68-2.70
K (0.2517, 0.5034, 0.6291)  3 O 2.68-2.70
K (0.3429, 0.6857, 0.9380)  2 O 2.69
Pb (0.0369, 0.0738, 0.7912)  3 O 2.18-2.38
Pb (0.9631, 0.9262, 0.2088)  3 O 2.18-2.38
O (0.1045, 0.2090, 0.3890)  1 Pb 2.18
O (0.6443, 0.2886, 0.7836)  2 Pb 2.38
O (0.3557, 0.7114, 0.2164)  2 Pb 2.38
O (0.8955, 0.7910, 0.6110)  1 Pb 2.18
O (0.0000, 0.0000, 0.0000)  2 Pb 2.49, 4 K 2.69

***

Entry 5:
Entry from the Alexandria database: a relaxed structure of KPbO (PBE).

Computed properties:
formation energy (no corrections) = -2.631 eV per formula unit
DFT total energy = -4.132 eV/atom

Unit cell a=5.3604 b=9.7956 c=5.8828 alpha=90.00 beta=90.00 gamma=90.00
With the nearest neighbours (Å) after each atom.
Fractional positions:
K (0.7500, 0.6130, 0.4753)  3 O 2.74-2.76
K (0.2500, 0.1130, 0.0247)  3 O 2.74-2.76
K (0.2500, 0.3870, 0.5247)  3 O 2.74-2.76
K (0.7500, 0.8870, 0.9753)  3 O 2.74-2.76
Pb (0.7500, 0.3824, 0.9925)  2 O 2.23-2.36
Pb (0.2500, 0.8824, 0.5075)  2 O 2.23-2.36
Pb (0.2500, 0.6176, 0.0075)  2 O 2.23-2.36
Pb (0.7500, 0.1176, 0.4925)  2 O 2.23-2.36
O (0.7500, 0.1533, 0.1174)  2 Pb 2.23-2.36
O (0.2500, 0.6533, 0.3826)  2 Pb 2.23-2.36
O (0.2500, 0.8467, 0.8826)  2 Pb 2.23-2.36
O (0.7500, 0.3467, 0.6174)  2 Pb 2.23-2.36

***

Entry 6:
Entry from the Alexandria database: a relaxed structure of KPbO (PBE).

Computed properties:
formation energy (no corrections) = -2.149 eV per formula unit
DFT total energy = -3.971 eV/atom

Unit cell a=6.7622 b=6.0526 c=7.5740 alpha=113.55 beta=116.51 gamma=90.00
With the nearest neighbours (Å) after each atom.
Fractional positions:
K (0.3263, 0.8263, 0.6526)  1 O 2.49
K (0.6737, 0.1737, 0.3474)  1 O 2.49
Pb (0.2452, 0.5000, 0.0000)  2 O 2.21
Pb (0.7548, 0.5000, 0.0000)  2 O 2.21
O (0.8789, 0.3789, 0.7578)  2 Pb 2.21
O (0.1211, 0.6211, 0.2422)  2 Pb 2.21

***

Entry 7:
Entry from the Alexandria database: a relaxed structure of K4PbO3 (PBE).

Computed properties:
formation energy (no corrections) = -9.419 eV per formula unit
DFT total energy = -4.049 eV/atom

Unit cell a=6.6755 b=7.0289 c=10.2695 alpha=112.48 beta=90.00 gamma=118.35
With the nearest neighbours (Å) after each atom.
Fractional positions:
Pb (0.6710, 0.9827, 0.7051)  3 O 2.22
Pb (0.3117, 0.9827, 0.2051)  3 O 2.22
K (0.2582, 0.2249, 0.9401)  3 O 2.58-2.67
K (0.9667, 0.2249, 0.4401)  3 O 2.58-2.67
K (0.5204, 0.3957, 0.6311)  3 O 2.69-2.74
K (0.8753, 0.3957, 0.1311)  3 O 2.69-2.74
K (0.0885, 0.6219, 0.8353)  3 O 2.66-2.90
K (0.5333, 0.6219, 0.3353)  3 O 2.66-2.90
K (0.0316, 0.7564, 0.5311)  3 O 2.65-2.87
K (0.7248, 0.7564, 0.0311)  3 O 2.65-2.87
O (0.6528, 0.2851, 0.8715)  1 Pb 2.22
O (0.6323, 0.2851, 0.3715)  1 Pb 2.22
O (0.3191, 0.6542, 0.6264)  1 Pb 2.22
O (0.3352, 0.6542, 0.1264)  1 Pb 2.22
O (0.8453, 0.8588, 0.8093)  1 Pb 2.22
O (0.0135, 0.8588, 0.3093)  1 Pb 2.22

***

Entry 8:
Entry from the Alexandria database: a relaxed structure of K2Pb3O8 (PBE).

Computed properties:
formation energy (no corrections) = -10.995 eV per formula unit
DFT total energy = -4.922 eV/atom

Unit cell a=5.9520 b=6.5731 c=7.6152 alpha=115.57 beta=108.86 gamma=90.00
With the nearest neighbours (Å) after each atom.
Fractional positions:
K (0.3088, 0.2770, 0.5540)  6 O 2.69-2.89
K (0.6912, 0.7230, 0.4460)  6 O 2.69-2.89
Pb (0.5000, 0.0000, 0.0000)  6 O 2.20-2.25
Pb (0.0000, 0.2548, 0.0000)  6 O 2.16-2.28
Pb (0.0000, 0.7452, 0.0000)  6 O 2.16-2.28
O (0.9332, 0.5913, 0.1826)  2 Pb 2.16
O (0.0668, 0.4087, 0.8174)  2 Pb 2.16
O (0.8994, 0.0889, 0.1778)  3 Pb 2.25-2.28
O (0.1006, 0.9111, 0.8222)  3 Pb 2.25-2.28
O (0.6108, 0.6993, 0.7920)  2 Pb 2.20-2.28
O (0.6108, 0.0927, 0.7920)  2 Pb 2.20-2.28
O (0.3892, 0.9073, 0.2080)  2 Pb 2.20-2.28
O (0.3892, 0.3007, 0.2080)  2 Pb 2.20-2.28

***

Entry 9:
Entry from the Alexandria database: a relaxed structure of K2Pb3O6 (PBE).

Computed properties:
formation energy (no corrections) = -11.991 eV per formula unit
DFT total energy = -5.005 eV/atom

Unit cell a=6.1677 b=6.0990 c=6.6965 alpha=81.23 beta=72.45 gamma=59.63
With the nearest neighbours (Å) after each atom.
Fractional positions:
K (0.1698, 0.6604, 0.5000)  6 O 2.82-2.89
K (0.8302, 0.3396, 0.5000)  6 O 2.82-2.89
Pb (0.0000, 0.0000, 0.0000)  6 O 2.22-2.30
Pb (0.3353, 0.3294, 0.0000)  6 O 2.34-2.43
Pb (0.6647, 0.6706, 0.0000)  6 O 2.34-2.43
O (0.3823, 0.6688, 0.8194)  3 Pb 2.30-2.41
O (0.7573, 0.0000, 0.8133)  3 Pb 2.22-2.43
O (0.0511, 0.3312, 0.8194)  3 Pb 2.30-2.41
O (0.2427, 0.0000, 0.1867)  3 Pb 2.22-2.43
O (0.6177, 0.3312, 0.1806)  3 Pb 2.30-2.41
O (0.9489, 0.6688, 0.1806)  3 Pb 2.30-2.41

***

Entry 10:
Entry from the Alexandria database: a relaxed structure of KPb4O8 (PBE).

Computed properties:
formation energy (no corrections) = -12.939 eV per formula unit
DFT total energy = -5.272 eV/atom

Unit cell a=3.4859 b=8.1012 c=8.2648 alpha=83.31 beta=77.83 gamma=77.58
With the nearest neighbours (Å) after each atom.
Fractional positions:
K (0.5604, 0.9537, 0.9254)  5 O 3.00-3.26
Pb (0.3678, 0.8206, 0.4438)  6 O 2.21-2.28
Pb (0.8563, 0.5024, 0.7851)  6 O 2.19-2.32
Pb (0.1717, 0.5037, 0.1529)  6 O 2.19-2.27
Pb (0.6584, 0.1898, 0.4933)  6 O 2.21-2.31
O (0.1501, 0.3258, 0.3741)  3 Pb 2.19-2.23
O (0.5541, 0.6610, 0.2308)  3 Pb 2.21-2.26
O (0.4717, 0.3492, 0.7073)  3 Pb 2.21-2.24
O (0.8682, 0.6908, 0.5727)  3 Pb 2.19-2.24
O (0.8496, 0.9726, 0.3283)  3 Pb 2.25-2.28
O (0.2259, 0.6482, 0.9000)  3 Pb 2.27-2.32
O (0.1738, 0.0357, 0.6166)  3 Pb 2.28-2.31
O (0.7961, 0.3687, 0.0391)  3 Pb 2.24-2.27

***

- What is the formula in the fourth record?
  K5Pb2O5